# AcPmErMg (PBE-GGA, optimized geometry)
# formation enthalpy at 0 K	0.04	eV per atom
data_AcPmErMg
_cell_length_a 8.1060
_cell_length_b 8.1060
_cell_length_c 8.1060
_cell_angle_alpha 90.00
_cell_angle_beta 90.00
_cell_angle_gamma 90.00
_symmetry_space_group_name_H-M 'F -4 3 m'
_symmetry_Int_Tables_number 216
_symmetry_space_group_name_Hall 'F -4 2 3'
loop_
_atom_site_label
_atom_site_fract_x
_atom_site_fract_y
_atom_site_fract_z
Ac1 0.0000 0.0000 0.0000
Pm1 0.0000 0.0000 0.5000
Er1 0.2500 0.2500 0.7500
Mg1 0.2500 0.2500 0.2500


# AcErPuMg (PBE-GGA, optimized geometry)
# formation enthalpy at 0 K	0.20	eV per atom
data_AcErPuMg
_cell_length_a 7.9841
_cell_length_b 7.9841
_cell_length_c 7.9841
_cell_angle_alpha 90.00
_cell_angle_beta 90.00
_cell_angle_gamma 90.00
_symmetry_space_group_name_H-M 'F -4 3 m'
_symmetry_Int_Tables_number 216
_symmetry_space_group_name_Hall 'F -4 2 3'
loop_
_atom_site_label
_atom_site_fract_x
_atom_site_fract_y
_atom_site_fract_z
Ac1 0.0000 0.0000 0.0000
Er1 0.0000 0.0000 0.5000
Pu1 0.2500 0.2500 0.2500
Mg1 0.2500 0.2500 0.7500


# AcErMgRu (PBE-GGA, optimized geometry)
# formation enthalpy at 0 K	-0.01	eV per atom
data_AcErMgRu
_cell_length_a 7.3985
_cell_length_b 7.3985
_cell_length_c 7.3985
_cell_angle_alpha 90.00
_cell_angle_beta 90.00
_cell_angle_gamma 90.00
_symmetry_space_group_name_H-M 'F -4 3 m'
_symmetry_Int_Tables_number 216
_symmetry_space_group_name_Hall 'F -4 2 3'
loop_
_atom_site_label
_atom_site_fract_x
_atom_site_fract_y
_atom_site_fract_z
Ac1 0.0000 0.0000 0.0000
Er1 0.0000 0.0000 0.5000
Mg1 0.2500 0.2500 0.2500
Ru1 0.2500 0.2500 0.7500


# Ac2ErMgSe5 (PBE-GGA, optimized geometry)
# ΔE_f (raw)	-1789	meV/atom
data_Ac2ErMgSe5
_cell_length_a 4.2325
_cell_length_b 18.0104
_cell_length_c 12.9295
_cell_angle_alpha 90.00
_cell_angle_beta 90.00
_cell_angle_gamma 90.00
_symmetry_space_group_name_H-M 'C m c 21'
_symmetry_Int_Tables_number 36
_symmetry_space_group_name_Hall 'C 2c -2'
loop_
_atom_site_label
_atom_site_fract_x
_atom_site_fract_y
_atom_site_fract_z
Ac1 0.0000 0.1134 0.0000
Ac2 0.0000 0.1354 0.6236
Er1 0.0000 0.2032 0.3283
Mg1 0.0000 0.4553 0.7674
Se1 0.0000 0.0489 0.3745
Se2 0.0000 0.2871 0.9777
Se3 0.0000 0.3144 0.6771
Se4 0.0000 0.3601 0.3153
Se5 0.0000 0.4935 0.0869


# Ac3Er3MgSe8 (PBE-GGA, optimized geometry)
# ΔE_f (raw)	-1760	meV/atom
data_Ac3Er3MgSe8
_cell_length_a 8.2915
_cell_length_b 8.2915
_cell_length_c 21.4231
_cell_angle_alpha 90.00
_cell_angle_beta 90.00
_cell_angle_gamma 120.00
_symmetry_space_group_name_H-M 'R -3 m'
_symmetry_Int_Tables_number 166
_symmetry_space_group_name_Hall '-R 3 2"'
loop_
_atom_site_label
_atom_site_fract_x
_atom_site_fract_y
_atom_site_fract_z
Ac1 0.0000 0.5000 0.0000
Er1 0.0000 0.5000 0.5000
Mg1 0.0000 0.0000 0.5000
Se1 0.0000 0.0000 0.2395
Se2 0.0029 0.5015 0.2394


# Ac2ErMgSe6 (PBE-GGA, optimized geometry)
# ΔE_f (raw)	-1682	meV/atom
data_Ac2ErMgSe6
_cell_length_a 6.8518
_cell_length_b 7.9179
_cell_length_c 12.2720
_cell_angle_alpha 90.00
_cell_angle_beta 122.52
_cell_angle_gamma 90.00
_symmetry_space_group_name_H-M 'P 1 21/c 1'
_symmetry_Int_Tables_number 14
_symmetry_space_group_name_Hall '-P 2ybc'
loop_
_atom_site_label
_atom_site_fract_x
_atom_site_fract_y
_atom_site_fract_z
Ac1 0.2027 0.1052 0.2479
Er1 0.5000 0.0000 0.0000
Mg1 0.0000 0.0000 0.5000
Se1 0.1079 0.1856 0.9443
Se2 0.2739 0.6827 0.9444
Se3 0.3591 0.0292 0.7425


# AcErMgSn (PBE-GGA, optimized geometry)
# formation enthalpy at 0 K	-0.32	eV per atom
data_AcErMgSn
_cell_length_a 7.8193
_cell_length_b 7.8193
_cell_length_c 7.8193
_cell_angle_alpha 90.00
_cell_angle_beta 90.00
_cell_angle_gamma 90.00
_symmetry_space_group_name_H-M 'F -4 3 m'
_symmetry_Int_Tables_number 216
_symmetry_space_group_name_Hall 'F -4 2 3'
loop_
_atom_site_label
_atom_site_fract_x
_atom_site_fract_y
_atom_site_fract_z
Ac1 0.0000 0.0000 0.0000
Er1 0.0000 0.0000 0.5000
Mg1 0.2500 0.2500 0.7500
Sn1 0.2500 0.2500 0.2500


# AcErThMg (PBE-GGA, optimized geometry)
# formation enthalpy at 0 K	0.23	eV per atom
data_AcErThMg
_cell_length_a 8.0492
_cell_length_b 8.0492
_cell_length_c 8.0492
_cell_angle_alpha 90.00
_cell_angle_beta 90.00
_cell_angle_gamma 90.00
_symmetry_space_group_name_H-M 'F -4 3 m'
_symmetry_Int_Tables_number 216
_symmetry_space_group_name_Hall 'F -4 2 3'
loop_
_atom_site_label
_atom_site_fract_x
_atom_site_fract_y
_atom_site_fract_z
Ac1 0.0000 0.0000 0.0000
Er1 0.2500 0.2500 0.7500
Th1 0.2500 0.2500 0.2500
Mg1 0.0000 0.0000 0.5000


# AcErMg2Tl4 (PBE-GGA, optimized geometry)
# formation enthalpy at 0 K	-0.23	eV per atom
data_AcErMg2Tl4
_cell_length_a 5.0737
_cell_length_b 5.0737
_cell_length_c 30.3349
_cell_angle_alpha 90.00
_cell_angle_beta 90.00
_cell_angle_gamma 120.00
_symmetry_space_group_name_H-M 'R -3 m'
_symmetry_Int_Tables_number 166
_symmetry_space_group_name_Hall '-R 3 2"'
loop_
_atom_site_label
_atom_site_fract_x
_atom_site_fract_y
_atom_site_fract_z
Ac1 0.0000 0.0000 0.0000
Er1 0.0000 0.0000 0.5000
Mg1 0.0000 0.0000 0.2425
Tl1 0.0000 0.0000 0.1261
Tl2 0.0000 0.0000 0.3908


# AcEr2MgTl4 (PBE-GGA, optimized geometry)
# formation enthalpy at 0 K	-0.26	eV per atom
data_AcEr2MgTl4
_cell_length_a 5.1914
_cell_length_b 5.1914
_cell_length_c 29.8526
_cell_angle_alpha 90.00
_cell_angle_beta 90.00
_cell_angle_gamma 120.00
_symmetry_space_group_name_H-M 'R -3 m'
_symmetry_Int_Tables_number 166
_symmetry_space_group_name_Hall '-R 3 2"'
loop_
_atom_site_label
_atom_site_fract_x
_atom_site_fract_y
_atom_site_fract_z
Ac1 0.0000 0.0000 0.0000
Er1 0.0000 0.0000 0.2349
Mg1 0.0000 0.0000 0.5000
Tl1 0.0000 0.0000 0.1276
Tl2 0.0000 0.0000 0.3910


# AcYErMg (PBE-GGA, optimized geometry)
# formation enthalpy at 0 K	0.15	eV per atom
data_AcYErMg
_cell_length_a 8.0482
_cell_length_b 8.0482
_cell_length_c 8.0482
_cell_angle_alpha 90.00
_cell_angle_beta 90.00
_cell_angle_gamma 90.00
_symmetry_space_group_name_H-M 'F -4 3 m'
_symmetry_Int_Tables_number 216
_symmetry_space_group_name_Hall 'F -4 2 3'
loop_
_atom_site_label
_atom_site_fract_x
_atom_site_fract_y
_atom_site_fract_z
Ac1 0.0000 0.0000 0.0000
Y1 0.2500 0.2500 0.2500
Er1 0.2500 0.2500 0.7500
Mg1 0.0000 0.0000 0.5000


# AcErMgZn (PBE-GGA, optimized geometry)
# formation enthalpy at 0 K	-0.10	eV per atom
data_AcErMgZn
_cell_length_a 7.6814
_cell_length_b 7.6814
_cell_length_c 7.6814
_cell_angle_alpha 90.00
_cell_angle_beta 90.00
_cell_angle_gamma 90.00
_symmetry_space_group_name_H-M 'F -4 3 m'
_symmetry_Int_Tables_number 216
_symmetry_space_group_name_Hall 'F -4 2 3'
loop_
_atom_site_label
_atom_site_fract_x
_atom_site_fract_y
_atom_site_fract_z
Ac1 0.0000 0.0000 0.0000
Er1 0.0000 0.0000 0.5000
Mg1 0.2500 0.2500 0.7500
Zn1 0.2500 0.2500 0.2500


no.,density of states at the Fermi level (states/eV per cell),electronic total energy (eV/cell),spin magnetization (μB/f.u.)
1,18.28,-59.44,0.00
2,63.63,-95.19,6.28
3,20.20,-78.34,0.00
4,6.31,-191.59,0.00
5,10.33,-245.65,0.00
6,14.21,-104.21,0.00
7,14.33,-62.25,0.00
8,26.81,-67.03,0.00
9,11.01,-69.51,0.00
10,15.87,-79.24,0.00
11,27.99,-64.48,0.02
12,17.83,-47.82,0.00